Record 1
First-principles (PBE-GGA) data for a relaxed structure of U2ReP, as listed in Alexandria.

abc: 9.1292 9.1292 9.1292
angles: 20.02 20.02 20.02
Closest atoms and distances in Å follow each position.
Positions (direct):
U 0.0932 0.0932 0.0932  1 Re 2.50, 3 P 2.69
U 0.9068 0.9068 0.9068  1 Re 2.50, 3 P 2.69
Re 0.0000 0.0000 0.0000  2 U 2.50
P 0.5000 0.5000 0.5000  6 U 2.69

- relative energy among the computed polymorphs (eV/atom) = 0.645
- size of the total moment (μB per cell) = 0.0
- crystal system = trigonal
- DOS at the Fermi energy (states/eV/cell) = 6.1


Record 2
First-principles (PBE-GGA) data for a relaxed structure of UReP2, as listed in Alexandria.

abc: 6.9397 6.9397 6.9397
angles: 152.41 152.41 39.41
Closest atoms and distances in Å follow each position.
Positions (direct):
U 0.0000 0.0000 0.0000  8 P 2.86
Re 0.2500 0.7500 0.5000  4 P 2.31
P 0.3736 0.3736 0.0000  2 Re 2.31
P 0.6264 0.6264 0.0000  2 Re 2.31

- relative energy among the computed polymorphs (eV/atom) = 0.034
- size of the total moment (μB per cell) = 2.3
- crystal system = tetragonal
- DOS at the Fermi energy (states/eV/cell) = 5.1


Record 3
First-principles (PBE-GGA) data for a relaxed structure of UReP, as listed in Alexandria.

abc: 5.1269 3.8054 5.8404
angles: 90.00 99.38 90.00
Closest atoms and distances in Å follow each position.
Positions (direct):
U 0.2105 0.2500 0.2486  1 Re 2.60, 4 P 2.70-2.75
U 0.7895 0.7500 0.7514  1 Re 2.60, 4 P 2.70-2.75
Re 0.3657 0.2500 0.8463  2 P 2.42, 1 U 2.60
Re 0.6343 0.7500 0.1537  2 P 2.42, 1 U 2.60
P 0.2553 0.7500 0.5930  2 Re 2.42, 1 U 2.70
P 0.7447 0.2500 0.4070  2 Re 2.42, 1 U 2.70

- relative energy among the computed polymorphs (eV/atom) = 0.309
- size of the total moment (μB per cell) = 0.0
- crystal system = monoclinic
- DOS at the Fermi energy (states/eV/cell) = 7.2


Record 4
First-principles (PBE-GGA) data for a relaxed structure of UReP2, as listed in Alexandria.

abc: 6.5449 6.5449 6.5449
angles: 32.46 32.46 32.46
Closest atoms and distances in Å follow each position.
Positions (direct):
U 0.0000 0.0000 0.0000  6 P 2.78-2.85
Re 0.1747 0.1747 0.1747  6 P 2.40-2.50
P 0.4364 0.4364 0.4364  1 P 2.47, 3 Re 2.50
P 0.5695 0.5695 0.5695  3 Re 2.40, 1 P 2.47

- relative energy among the computed polymorphs (eV/atom) = 0.000
- size of the total moment (μB per cell) = 3.2
- crystal system = trigonal
- DOS at the Fermi energy (states/eV/cell) = 6.7


Record 5
First-principles (PBE-GGA) data for a relaxed structure of UReP2, as listed in Alexandria.

abc: 9.3088 9.3088 9.3088
angles: 18.38 18.38 18.38
Closest atoms and distances in Å follow each position.
Positions (direct):
U 0.0000 0.0000 0.0000  2 P 2.84, 6 U 2.97
Re 0.5000 0.5000 0.5000  6 P 2.44
P 0.1034 0.1034 0.1034  3 Re 2.44
P 0.8966 0.8966 0.8966  3 Re 2.44

- relative energy among the computed polymorphs (eV/atom) = 0.356
- size of the total moment (μB per cell) = 2.1
- crystal system = trigonal
- DOS at the Fermi energy (states/eV/cell) = 6.3


Record 6
First-principles (PBE-GGA) data for a relaxed structure of URe4P4, as listed in Alexandria.

abc: 6.0920 6.0920 7.7659
angles: 90.00 90.00 90.00
Closest atoms and distances in Å follow each position.
Positions (direct):
U 0.2500 0.7500 0.2500  4 P 2.84
U 0.7500 0.2500 0.7500  4 P 2.84
Re 0.0373 0.2500 0.1491  5 P 2.32-2.50, 1 Re 2.59
Re 0.2500 0.0373 0.6491  5 P 2.32-2.50, 1 Re 2.59
Re 0.2500 0.4627 0.6491  5 P 2.32-2.50, 1 Re 2.59
Re 0.4627 0.2500 0.1491  5 P 2.32-2.50, 1 Re 2.59
Re 0.5373 0.7500 0.8509  5 P 2.32-2.50, 1 Re 2.59
Re 0.7500 0.5373 0.3509  5 P 2.32-2.50, 1 Re 2.59
Re 0.7500 0.9627 0.3509  5 P 2.32-2.50, 1 Re 2.59
Re 0.9627 0.7500 0.8509  5 P 2.32-2.50, 1 Re 2.59
P 0.0105 0.2500 0.4472  5 Re 2.32-2.50
P 0.2500 0.0105 0.9472  5 Re 2.32-2.50
P 0.2500 0.4895 0.9472  5 Re 2.32-2.50
P 0.4895 0.2500 0.4472  5 Re 2.32-2.50
P 0.5105 0.7500 0.5528  5 Re 2.32-2.50
P 0.7500 0.5105 0.0528  5 Re 2.32-2.50
P 0.7500 0.9895 0.0528  5 Re 2.32-2.50
P 0.9895 0.7500 0.5528  5 Re 2.32-2.50

- size of the total moment (μB per cell) = 4.1
- crystal system = tetragonal
- DOS at the Fermi energy (states/eV/cell) = 23.0


no.,total energy (eV per atom),formation energy (eV per atom),V (Å³ per cell)
1,-9.833,0.28,78.0
2,-8.991,-0.35,71.5
3,-9.865,-0.15,112.4
4,-9.025,-0.39,71.8
5,-8.669,-0.03,70.1
6,-9.333,-0.14,288.2